# 1
Re2TeAs: relaxed, GGA-PBEsol.

Energy relative to the elements, uncorrected in eV/atom: 0.222

Cell and atoms, written as CIF:
```
data_Re2TeAs
_chemical_formula_sum 'Re2 Te1 As1'
_cell_length_a 3.008
_cell_length_b 3.008
_cell_length_c 7.943
_cell_angle_alpha 90.00
_cell_angle_beta 90.00
_cell_angle_gamma 90.00
_symmetry_space_group_name_H-M 'P 4 m m'
_symmetry_Int_Tables_number 99
_symmetry_space_group_name_Hall 'P 4 -2'
loop_
_atom_site_label
_atom_site_type_symbol
_atom_site_fract_x
_atom_site_fract_y
_atom_site_fract_z
_atom_site_occupancy
Re1 Re 0.000 0.000 0.000 1
Re2 Re 0.500 0.500 0.222 1
Te1 Te 0.000 0.000 0.442 1
As1 As 0.500 0.500 0.810 1
```

---

# 2
Zn2CrRh: relaxed, GGA-PBEsol.

ΔH_f (0 K) in kJ per mole of atoms: 2.91

Cell and atoms, written as CIF:
```
data_Zn2CrRh
_chemical_formula_sum 'Zn2 Cr1 Rh1'
_cell_length_a 2.943
_cell_length_b 4.236
_cell_length_c 4.280
_cell_angle_alpha 90.00
_cell_angle_beta 90.00
_cell_angle_gamma 90.00
_symmetry_space_group_name_H-M 'P m m m'
_symmetry_Int_Tables_number 47
_symmetry_space_group_name_Hall '-P 2 2'
loop_
_atom_site_label
_atom_site_type_symbol
_atom_site_fract_x
_atom_site_fract_y
_atom_site_fract_z
_atom_site_occupancy
Zn1 Zn 0.000 0.000 0.000 1
Zn2 Zn 0.500 0.000 0.500 1
Cr1 Cr 0.000 0.500 0.500 1
Rh1 Rh 0.500 0.500 0.000 1
```

---

# 3
YMoPt2: relaxed, GGA-PBEsol.

ΔH_f (0 K) in kJ per mole of atoms: 9.25

Cell and atoms, written as CIF:
```
data_YMoPt2
_chemical_formula_sum 'Y3 Mo3 Pt6'
_cell_length_a 2.8920
_cell_length_b 2.8920
_cell_length_c 28.5657
_cell_angle_alpha 90.00
_cell_angle_beta 90.00
_cell_angle_gamma 120.00
_symmetry_space_group_name_H-M 'R 3 m'
_symmetry_Int_Tables_number 160
_symmetry_space_group_name_Hall 'R 3 -2"'
loop_
_atom_site_label
_atom_site_type_symbol
_atom_site_fract_x
_atom_site_fract_y
_atom_site_fract_z
_atom_site_occupancy
Y1 Y 0.0000 0.0000 0.0000 1
Mo1 Mo 0.0000 0.0000 0.2384 1
Pt1 Pt 0.0000 0.0000 0.4991 1
Pt2 Pt 0.0000 0.0000 0.7513 1
```

---

# 4
LiCo2Cu: relaxed, GGA-PBEsol.

ΔH_f (0 K) in kJ per mole of atoms: 16.41

Cell and atoms, written as CIF:
```
data_LiCo2Cu
_chemical_formula_sum 'Li2 Co4 Cu2'
_cell_length_a 4.762
_cell_length_b 8.357
_cell_length_c 2.376
_cell_angle_alpha 90.00
_cell_angle_beta 114.45
_cell_angle_gamma 90.00
_symmetry_space_group_name_H-M 'C 1 2/m 1'
_symmetry_Int_Tables_number 12
_symmetry_space_group_name_Hall '-C 2y'
loop_
_atom_site_label
_atom_site_type_symbol
_atom_site_fract_x
_atom_site_fract_y
_atom_site_fract_z
_atom_site_occupancy
Li1 Li 0.000 0.000 0.000 1
Co1 Co 0.250 0.250 0.500 1
Cu1 Cu 0.000 0.500 0.000 1
```

---

# 5
MgTe: relaxed, GGA-PBEsol.

Energy relative to the elements, uncorrected in eV/atom: -0.764

Cell and atoms, written as CIF:
```
data_MgTe
_chemical_formula_sum 'Mg6 Te6'
_cell_length_a 4.6264
_cell_length_b 4.6264
_cell_length_c 21.1905
_cell_angle_alpha 90.00
_cell_angle_beta 90.00
_cell_angle_gamma 120.00
_symmetry_space_group_name_H-M 'R -3 m'
_symmetry_Int_Tables_number 166
_symmetry_space_group_name_Hall '-R 3 2"'
loop_
_atom_site_label
_atom_site_type_symbol
_atom_site_fract_x
_atom_site_fract_y
_atom_site_fract_z
_atom_site_occupancy
Mg1 Mg 0.0000 0.0000 0.1177 1
Te1 Te 0.0000 0.0000 0.2542 1
```

---

# 6
ReBr: relaxed, GGA-PBEsol.

Energy relative to the elements, uncorrected in eV/atom: 1.399

Cell and atoms, written as CIF:
```
data_ReBr
_chemical_formula_sum 'Re4 Br4'
_cell_length_a 5.003
_cell_length_b 5.003
_cell_length_c 5.327
_cell_angle_alpha 90.00
_cell_angle_beta 90.00
_cell_angle_gamma 90.00
_symmetry_space_group_name_H-M 'I 41/a m d'
_symmetry_Int_Tables_number 141
loop_
_symmetry_equiv_pos_as_xyz
'x,y,z'
'-x,-y,-z'
'-y+1/4,x+3/4,z+1/4'
'y+1/4,-x+3/4,-z+1/4'
'-x+1/2,-y,z+1/2'
'x+1/2,y,-z+1/2'
'y+1/4,-x+1/4,z+3/4'
'-y+1/4,x+1/4,-z+3/4'
'x,-y,-z'
'-x,y,z'
'-y+1/4,-x+1/4,-z+3/4'
'y+1/4,x+1/4,z+3/4'
'-x+1/2,y,-z+1/2'
'x+1/2,-y,z+1/2'
'y+1/4,x+3/4,-z+1/4'
'-y+1/4,-x+3/4,z+1/4'
'x+1/2,y+1/2,z+1/2'
'-x+1/2,-y+1/2,-z+1/2'
'-y+3/4,x+1/4,z+3/4'
'y+3/4,-x+1/4,-z+3/4'
'-x,-y+1/2,z'
'x,y+1/2,-z'
'y+3/4,-x+3/4,z+1/4'
'-y+3/4,x+3/4,-z+1/4'
'x+1/2,-y+1/2,-z+1/2'
'-x+1/2,y+1/2,z+1/2'
'-y+3/4,-x+3/4,-z+1/4'
'y+3/4,x+3/4,z+1/4'
'-x,y+1/2,-z'
'x,-y+1/2,z'
'y+3/4,x+1/4,-z+3/4'
'-y+3/4,-x+1/4,z+3/4'
loop_
_atom_site_label
_atom_site_type_symbol
_atom_site_fract_x
_atom_site_fract_y
_atom_site_fract_z
_atom_site_occupancy
Re1 Re 0.000 0.250 0.375 1
Br1 Br 0.000 0.250 0.875 1
```

---

# 7
CrRu2Cl: relaxed, GGA-PBEsol.

Energy relative to the elements, uncorrected in eV/atom: 0.772

Cell and atoms, written as CIF:
```
data_CrRu2Cl
_chemical_formula_sum 'Cr2 Ru4 Cl2'
_cell_length_a 5.237
_cell_length_b 8.326
_cell_length_c 2.834
_cell_angle_alpha 90.00
_cell_angle_beta 118.11
_cell_angle_gamma 90.00
_symmetry_space_group_name_H-M 'C 1 2/m 1'
_symmetry_Int_Tables_number 12
_symmetry_space_group_name_Hall '-C 2y'
loop_
_atom_site_label
_atom_site_type_symbol
_atom_site_fract_x
_atom_site_fract_y
_atom_site_fract_z
_atom_site_occupancy
Cr1 Cr 0.000 0.000 0.000 1
Ru1 Ru 0.250 0.250 0.500 1
Cl1 Cl 0.000 0.500 0.000 1
```

---

# 8
CaScAu: relaxed, GGA-PBEsol.

ΔH_f (0 K) in kJ per mole of atoms: -47.18

Cell and atoms, written as CIF:
```
data_CaScAu
_chemical_formula_sum 'Ca2 Sc2 Au2'
_cell_length_a 3.477
_cell_length_b 3.477
_cell_length_c 12.161
_cell_angle_alpha 90.00
_cell_angle_beta 90.00
_cell_angle_gamma 90.00
_symmetry_space_group_name_H-M 'I 4 m m'
_symmetry_Int_Tables_number 107
_symmetry_space_group_name_Hall 'I 4 -2'
loop_
_atom_site_label
_atom_site_type_symbol
_atom_site_fract_x
_atom_site_fract_y
_atom_site_fract_z
_atom_site_occupancy
Ca1 Ca 0.000 0.000 0.000 1
Sc1 Sc 0.000 0.000 0.274 1
Au1 Au 0.000 0.000 0.667 1
```